Crystalline Fe2MoSe at its relaxed geometry. Source: Alexandria via LeMat-Bulk, functional PBE-GGA.

Cell lengths 4.615, 4.615, 4.355 Å; angles 105.41, 105.41, 38.60 degrees
Positions (direct):
Fe  0.000  0.000  0.000
Fe  0.733  0.733  0.129
Mo  0.229  0.229  0.637
Se  0.483  0.483  0.461

Properties
The magnetization comes out at 4.1 Bohr magnetons per cell. As for the crystal system: monoclinic. As for the volume: 56 Å³ per cell. The calculation puts the density of states at the Fermi level at 4.64 states/eV/cell. The calculation puts the formation energy from raw total energies at 1.00 eV per formula unit.